SiNi3Ag | GGA-PBE | optimized geometry

Total magnetization: 1.7 μB per formula unit
Energy relative to the lowest polymorph listed for this composition: 1.204 eV per atom
Density: 5.4 g/cm³
Uncorrected formation energy: 1.540 eV/atom
Density of states at the Fermi level: 6.7 states/eV/f.u.
Crystal system: cubic

abc: 4.575 4.575 4.575
angles: 90.00 90.00 90.00
Space group Pm-3m (No. 221)
Symmetry-distinct sites (fractional):
Si: 0.000 0.000 0.000
Ni: 0.000 0.500 0.500
Ag: 0.500 0.500 0.500